The following is a DFT calculation (PBE) of NdZnPO after structural relaxation.

Unit cell a=4.0035 b=4.0035 c=31.1989 alpha=90.00 beta=90.00 gamma=120.00
Space group R-3m (No. 166, hexagonal axes)
Inequivalent atoms, fractional coordinates:
Nd 0.0000 0.0000 0.1187
Zn 0.0000 0.0000 0.3039
P 0.0000 0.0000 0.3859
O 0.0000 0.0000 0.1950

Results
crystal system = trigonal
M_tot = 0.00 μB/f.u.
energy relative to the elements, uncorrected = -1.815 eV per atom
raw total energy = -0.2175 hartree per atom